(1)
DFT (PBE) results for an optimized crystal structure of Cs3Ag2Te3.

Cell: 7.500 7.500 17.400 Å, 90.00 90.00 140.52°
Element x y z (fractional)
Cs 0.076 0.924 0.610
Cs 0.076 0.924 0.890
Cs 0.385 0.615 0.750
Cs 0.615 0.385 0.250
Cs 0.924 0.076 0.110
Cs 0.924 0.076 0.390
Ag 0.224 0.776 0.093
Ag 0.224 0.776 0.407
Ag 0.776 0.224 0.593
Ag 0.776 0.224 0.907
Te 0.306 0.694 0.250
Te 0.354 0.646 0.541
Te 0.354 0.646 0.959
Te 0.646 0.354 0.041
Te 0.646 0.354 0.459
Te 0.694 0.306 0.750

Output
Symmetry = Cmcm
Volume = 38.9 A^3/atom
DFT total energy = -0.1044 Ha/atom
Total magnetization = 0.000 μB per cell

(2)
DFT (PBE) results for an optimized crystal structure of CsTh4Ag3Te12.

Cell: 9.914 9.914 9.914 Å, 109.47 109.47 109.47°
Element x y z (fractional)
Cs 0.000 0.000 0.000
Th 0.000 0.000 0.500
Th 0.000 0.500 0.000
Th 0.500 0.000 0.000
Th 0.500 0.500 0.500
Ag 0.000 0.500 0.500
Ag 0.500 0.000 0.500
Ag 0.500 0.500 0.000
Te 0.154 0.320 0.834
Te 0.166 0.486 0.320
Te 0.166 0.846 0.680
Te 0.320 0.166 0.486
Te 0.320 0.834 0.154
Te 0.486 0.320 0.166
Te 0.514 0.680 0.834
Te 0.680 0.166 0.846
Te 0.680 0.834 0.514
Te 0.834 0.154 0.320
Te 0.834 0.514 0.680
Te 0.846 0.680 0.166

Output
Symmetry = Im-3
Volume = 37.5 A^3/atom
DFT total energy = -0.1656 Ha/atom
Total magnetization = 0.000 μB per cell

Number 1: formation energy (no corrections) -60.8 kJ/mol of atoms. Number 2: formation energy (no corrections) -64.3 kJ/mol of atoms.